## Cs3Dy3ZrS8 (PBE)

Data for an optimized crystal structure of Cs3Dy3ZrS8.

Cell: 7.9903 7.9915 9.4255 Å, 115.11 90.00 119.99°
Closest atoms and distances in Å follow each position.
Fractional positions:
1 S 0.2587 0.0416 0.3247  1 Zr 2.63, 2 Dy 2.77
2 S 0.2171 0.9584 0.6753  1 Zr 2.63, 2 Dy 2.77
3 Zr 0.0000 0.0000 0.5000  6 S 2.63
4 Cs 0.0000 0.0000 0.0000  6 S 3.49
5 S 0.7829 0.0416 0.3247  1 Zr 2.63, 2 Dy 2.77
6 S 0.2171 0.4343 0.6753  1 Zr 2.63, 2 Dy 2.77
7 S 0.7413 0.9584 0.6753  1 Zr 2.63, 2 Dy 2.77
8 S 0.2731 0.5462 0.3194  3 Dy 2.74
9 S 0.7829 0.5657 0.3247  1 Zr 2.63, 2 Dy 2.77
10 Dy 0.5000 0.5000 0.5000  6 S 2.74-2.77
11 Cs 0.0000 0.5000 0.0000  6 S 3.49
12 Dy 0.0000 0.5000 0.5000  6 S 2.74-2.77
13 Dy 0.5000 0.0000 0.5000  6 S 2.74-2.77
14 Cs 0.5000 0.5000 0.0000  6 S 3.49
15 S 0.7269 0.4538 0.6806  3 Dy 2.74

## Properties
Crystal system: trigonal
Formation energy (no corrections) (eV/atom): -1.80

***

## GeAsPd (PBE)

Data for an optimized crystal structure of GeAsPd.

Cell: 2.8035 4.6929 4.6929 Å, 120.00 90.00 90.00°
Closest atoms and distances in Å follow each position.
Fractional positions:
1 As 0.9993 0.6667 0.3333  3 Pd 2.71, 3 Ge 2.71, 2 As 2.80
2 Ge 0.0011 0.3333 0.6667  3 Pd 2.71, 3 As 2.71, 2 Ge 2.80
3 Pd 0.9996 0.0000 0.0000  3 As 2.71, 3 Ge 2.71, 2 Pd 2.80

## Properties
DFT formation energy (meV/atom): -58
Crystal system: hexagonal
Offset from the most stable computed form (eV per atom): 0.134

***

## CdPbCl4 (PBE)

Data for an optimized crystal structure of CdPbCl4.

Cell: 6.0437 6.0437 6.0437 Å, 60.00 60.00 60.00°
Closest atoms and distances in Å follow each position.
Fractional positions:
1 Cd 0.0000 0.0000 0.0000  12 Cl 3.54, 4 Pb 3.70
2 Pb 0.7500 0.7500 0.7500  12 Cl 3.55, 4 Cd 3.70
3 Cl 0.8771 0.3743 0.3743  6 Cl 3.00-3.04
4 Cl 0.3743 0.3743 0.3743  6 Cl 3.00-3.04
5 Cl 0.3743 0.3743 0.8771  6 Cl 3.00-3.04
6 Cl 0.3743 0.8771 0.3743  6 Cl 3.00-3.04

## Properties
Crystal system: cubic
Formation energy (no corrections) (eV/atom): 0.06
Offset from the most stable computed form (eV per atom): 1.155

***

## Sm3Ga2Ni2 (PBE)

Data for an optimized crystal structure of Sm3Ga2Ni2.

Cell: 5.6171 8.0705 13.0247 Å, 90.00 90.00 90.00°
Closest atoms and distances in Å follow each position.
Fractional positions:
1 Ga 0.1561 0.8957 0.2500  2 Ni 2.51
2 Ni 0.6204 0.0329 0.5888  3 Ga 2.51-2.57, 1 Ni 2.73
3 Sm 0.8496 0.1030 0.4008  2 Ni 2.82-2.86, 2 Ga 3.07-3.10
4 Ga 0.3553 0.2500 0.5000  4 Ni 2.56-2.57
5 Sm 0.6460 0.7522 0.7500  5 Ga 3.00-3.26, 4 Ni 3.09-3.13
6 Ni 0.6204 0.4671 0.0888  3 Ga 2.51-2.57, 1 Ni 2.73
7 Ni 0.6204 0.4671 0.4112  3 Ga 2.51-2.57, 1 Ni 2.73
8 Sm 0.1504 0.6030 0.0992  2 Ni 2.82-2.86, 2 Ga 3.07-3.10
9 Sm 0.8496 0.3970 0.9008  2 Ni 2.82-2.86, 2 Ga 3.07-3.10
10 Ni 0.3796 0.9671 0.0888  3 Ga 2.51-2.57, 1 Ni 2.73
11 Ga 0.1561 0.6043 0.7500  2 Ni 2.51
12 Sm 0.8496 0.3970 0.5992  2 Ni 2.82-2.86, 2 Ga 3.07-3.10
13 Sm 0.3540 0.2522 0.7500  5 Ga 3.00-3.26, 4 Ni 3.09-3.13
14 Sm 0.1504 0.8970 0.5992  2 Ni 2.82-2.86, 2 Ga 3.07-3.10
15 Ni 0.6204 0.0329 0.9112  3 Ga 2.51-2.57, 1 Ni 2.73
16 Sm 0.3540 0.2478 0.2500  5 Ga 3.00-3.26, 4 Ni 3.09-3.13
17 Sm 0.1504 0.6030 0.4008  2 Ni 2.82-2.86, 2 Ga 3.07-3.10
18 Ni 0.3796 0.9671 0.4112  3 Ga 2.51-2.57, 1 Ni 2.73
19 Ni 0.3796 0.5329 0.9112  3 Ga 2.51-2.57, 1 Ni 2.73
20 Ga 0.6447 0.7500 0.0000  4 Ni 2.56-2.57
21 Ga 0.6447 0.7500 0.5000  4 Ni 2.56-2.57
22 Sm 0.6460 0.7478 0.2500  5 Ga 3.00-3.26, 4 Ni 3.09-3.13
23 Sm 0.1504 0.8970 0.9008  2 Ni 2.82-2.86, 2 Ga 3.07-3.10
24 Ni 0.3796 0.5329 0.5888  3 Ga 2.51-2.57, 1 Ni 2.73
25 Ga 0.8439 0.1043 0.7500  2 Ni 2.51
26 Sm 0.8496 0.1030 0.0992  2 Ni 2.82-2.86, 2 Ga 3.07-3.10
27 Ga 0.8439 0.3957 0.2500  2 Ni 2.51
28 Ga 0.3553 0.2500 0.0000  4 Ni 2.56-2.57

## Properties
DFT formation energy (meV/atom): -528
Crystal system: orthorhombic

***

## AlBO3 (PBE)

Data for an optimized crystal structure of AlBO3.

Cell: 2.6910 4.5159 8.0023 Å, 95.58 90.00 90.00°
Closest atoms and distances in Å follow each position.
Fractional positions:
1 Al 0.7500 0.9405 0.1568  6 O 1.81-1.98
2 O 0.2500 0.7138 0.2277  1 B 1.42
3 O 0.2500 0.7013 0.6786  2 B 1.56
4 O 0.7500 0.2987 0.3214  2 B 1.56
5 B 0.7500 0.5954 0.7506  4 O 1.42-1.56
6 O 0.7500 0.8052 0.9171  1 B 1.56
7 B 0.2500 0.4046 0.2494  4 O 1.42-1.56
8 O 0.7500 0.2862 0.7723  1 B 1.42
9 Al 0.2500 0.0595 0.8432  6 O 1.81-1.98
10 O 0.2500 0.1948 0.0829  1 B 1.56

## Properties
Crystal system: monoclinic
Formation energy (no corrections) (eV/atom): -2.58

***

## RbIn4Ag (PBE)

Data for an optimized crystal structure of RbIn4Ag.

Cell: 5.7993 7.5964 10.0506 Å, 112.20 111.42 90.00°
Closest atoms and distances in Å follow each position.
Fractional positions:
1 In 0.9836 0.3646 0.7291  2 Ag 2.92-3.20, 2 In 3.06
2 In 0.3602 0.1009 0.8106  1 Ag 2.83, 2 In 2.97-3.06
3 In 0.0164 0.6354 0.2709  2 Ag 2.92-3.20, 2 In 3.06
4 Ag 0.6630 0.4527 0.9054  5 In 2.83-2.93, 1 Ag 3.05
5 In 0.6398 0.2903 0.1894  1 Ag 2.83, 2 In 2.97-3.06
6 In 0.0000 0.1954 0.0000  2 Ag 2.93, 3 In 2.97-3.22
7 In 0.3602 0.7097 0.8106  1 Ag 2.83, 2 In 2.97-3.06
8 Ag 0.3370 0.5473 0.0946  5 In 2.83-2.93, 1 Ag 3.05
9 In 0.6398 0.8991 0.1894  1 Ag 2.83, 2 In 2.97-3.06
10 Rb 0.2864 0.2202 0.4404  12 In 3.74-4.17, 1 Ag 4.00
11 In 0.0000 0.8046 0.0000  2 Ag 2.93, 3 In 2.97-3.22
12 Rb 0.7136 0.7798 0.5596  12 In 3.74-4.17, 1 Ag 4.00

## Properties
DFT formation energy (meV/atom): -38
Crystal system: monoclinic
Offset from the most stable computed form (eV per atom): 0.007

***

## Zr3AlAg (PBE)

Data for an optimized crystal structure of Zr3AlAg.

Cell: 5.1125 5.1125 5.1125 Å, 90.00 90.00 90.00°
Closest atoms and distances in Å follow each position.
Fractional positions:
1 Zr 0.5000 0.0000 0.0000  2 Ag 2.56
2 Zr 0.0000 0.5000 0.0000  2 Ag 2.56
3 Zr 0.0000 0.0000 0.5000  2 Ag 2.56
4 Ag 0.0000 0.0000 0.0000  6 Zr 2.56
5 Al 0.5000 0.5000 0.5000  12 Zr 3.62

## Properties
DFT formation energy (meV/atom): 855
Crystal system: cubic
Offset from the most stable computed form (eV per atom): 0.155

***

## Na2Ti2Hg (PBE)

Data for an optimized crystal structure of Na2Ti2Hg.

Cell: 3.9695 3.9695 7.9662 Å, 75.57 75.57 90.00°
Closest atoms and distances in Å follow each position.
Fractional positions:
1 Ti 0.4302 0.4302 0.1395  1 Ti 2.08
2 Na 0.2500 0.7500 0.5000  4 Na 2.81
3 Hg 0.0000 0.0000 0.0000  8 Ti 2.99
4 Ti 0.5698 0.5698 0.8605  1 Ti 2.08
5 Na 0.7500 0.2500 0.5000  4 Na 2.81

## Properties
DFT formation energy (meV/atom): 610
Crystal system: tetragonal
Offset from the most stable computed form (eV per atom): 0.050

***

## Co2TcCl (PBE)

Data for an optimized crystal structure of Co2TcCl.

Cell: 2.7563 4.3241 4.4262 Å, 90.00 90.00 90.00°
Closest atoms and distances in Å follow each position.
Fractional positions:
1 Cl 0.0000 0.5000 0.5000  4 Tc 2.56, 4 Co 2.61, 2 Cl 2.76
2 Co 0.5000 0.5000 0.0000  6 Co 2.56-2.76, 4 Cl 2.61
3 Tc 0.5000 0.0000 0.5000  4 Cl 2.56, 4 Co 2.61, 2 Tc 2.76
4 Co 0.0000 0.0000 0.0000  6 Co 2.56-2.76, 4 Tc 2.61

## Properties
Crystal system: orthorhombic
Formation energy (no corrections) (eV/atom): 0.72
Offset from the most stable computed form (eV per atom): 0.427

***

## HfMnFeAg2 (PBE)

Data for an optimized crystal structure of HfMnFeAg2.

Cell: 4.8234 3.9823 4.8234 Å, 90.00 90.00 90.00°
Closest atoms and distances in Å follow each position.
Fractional positions:
1 Ag 0.0000 0.0000 0.5000  2 Mn 2.41
2 Fe 0.0000 0.5000 0.0000  2 Mn 1.99
3 Ag 0.5000 0.0000 0.0000  2 Mn 2.41
4 Hf 0.5000 0.5000 0.5000  8 Ag 3.13, 4 Fe 3.41
5 Mn 0.0000 0.0000 0.0000  2 Fe 1.99

## Properties
DFT formation energy (meV/atom): 1026
Crystal system: tetragonal

***

| no. | DOS(E_F) (states/eV/cell) |
| --- | --- |
| 1 | 0.0 |
| 2 | 0.9 |
| 3 | 3.5 |
| 4 | 25.0 |
| 5 | 0.0 |
| 6 | 3.9 |
| 7 | 5.6 |
| 8 | 5.5 |
| 9 | 4.7 |
| 10 | 5.4 |